Record 1
Computed, not measured: ErPa4Se7 after structural relaxation at the PBE level of DFT.

Unit cell a=4.0695 b=4.0695 c=23.7368 alpha=90.00 beta=90.00 gamma=120.00
Space group P-3m1 (No. 164)
Inequivalent atoms, fractional coordinates:
1 Er 0.0000 0.0000 0.0000
2 Pa 0.3333 0.6667 0.1404
3 Pa 0.3333 0.6667 0.4314
4 Se 0.0000 0.0000 0.2084
5 Se 0.0000 0.0000 0.5000
6 Se 0.3333 0.6667 0.6369
7 Se 0.3333 0.6667 0.9325

V = 28.369 Å³ per atom
E_tot = -6.9416 eV per atom
Formation energy from raw total energies = -1.3634 eV per atom

***

Record 2
Computed, not measured: Cs2KRb4 after structural relaxation at the PBE level of DFT.

Unit cell a=7.910 b=7.910 c=24.946 alpha=90.00 beta=90.00 gamma=90.00
Space group I4/mmm (No. 139)
Inequivalent atoms, fractional coordinates:
1 Cs 0.000 0.000 0.129
2 K 0.000 0.000 0.500
3 Rb 0.000 0.000 0.323
4 Rb 0.000 0.500 0.000

V = 111.487 Å³ per atom
E_tot = -0.8407 eV per atom
Formation energy = 0.11 eV per atom
Energy above the lowest structure with this stoichiometry = 71 meV/atom

***

Record 3
Computed, not measured: Ag2AsP after structural relaxation at the PBE level of DFT.

Unit cell a=11.632 b=3.116 c=4.290 alpha=90.00 beta=101.52 gamma=90.00
Space group Cm (No. 8)
Inequivalent atoms, fractional coordinates:
1 Ag 0.000 0.000 0.000
2 Ag 0.220 0.500 0.880
3 As 0.274 0.000 0.409
4 P 0.483 0.000 0.488

V = 19.041 Å³ per atom
E_tot = -3.7516 eV per atom
Formation energy = 0.19 eV per atom
Energy above the lowest structure with this stoichiometry = 0 meV/atom